1.
Compound: Pr4Sm5Dy3
Source: Alexandria via LeMat-Bulk
Functional: PBE
Structure: relaxed

Unit cell a=8.727 b=8.727 c=9.479 alpha=114.82 beta=114.82 gamma=40.29
Fractional coordinates of all 12 atoms:
Pr (0.083, 0.083, 0.443)
Pr (0.217, 0.217, 0.879)
Pr (0.783, 0.783, 0.121)
Pr (0.917, 0.917, 0.557)
Sm (0.000, 0.000, 0.000)
Sm (0.328, 0.328, 0.611)
Sm (0.427, 0.427, 0.298)
Sm (0.573, 0.573, 0.702)
Sm (0.672, 0.672, 0.389)
Dy (0.209, 0.209, 0.229)
Dy (0.500, 0.500, 0.000)
Dy (0.791, 0.791, 0.771)

## Properties
SG	C2/m, No. 12


2.
Compound: Pr2SmDy9
Source: Alexandria via LeMat-Bulk
Functional: PBE
Structure: relaxed

Unit cell a=11.327 b=11.327 c=3.510 alpha=90.00 beta=90.00 gamma=120.00
Fractional coordinates of all 12 atoms:
Pr (0.333, 0.667, 0.000)
Pr (0.667, 0.333, 0.000)
Sm (0.000, 0.000, 0.000)
Dy (0.000, 0.500, 0.000)
Dy (0.174, 0.348, 0.500)
Dy (0.174, 0.826, 0.500)
Dy (0.348, 0.174, 0.500)
Dy (0.500, 0.000, 0.000)
Dy (0.500, 0.500, 0.000)
Dy (0.652, 0.826, 0.500)
Dy (0.826, 0.174, 0.500)
Dy (0.826, 0.652, 0.500)

## Properties
SG	P6/mmm, No. 191


3.
Compound: PrSmDy5
Source: Alexandria via LeMat-Bulk
Functional: PBE
Structure: relaxed

Unit cell a=6.799 b=6.799 c=12.180 alpha=106.88 beta=106.88 gamma=60.35
Fractional coordinates of all 14 atoms:
Pr (0.028, 0.972, 0.750)
Pr (0.972, 0.028, 0.250)
Sm (0.000, 0.500, 0.000)
Sm (0.500, 0.000, 0.500)
Dy (0.144, 0.416, 0.749)
Dy (0.196, 0.648, 0.501)
Dy (0.352, 0.804, 0.999)
Dy (0.411, 0.589, 0.250)
Dy (0.416, 0.144, 0.249)
Dy (0.584, 0.856, 0.751)
Dy (0.589, 0.411, 0.750)
Dy (0.648, 0.196, 0.001)
Dy (0.804, 0.352, 0.499)
Dy (0.856, 0.584, 0.251)

## Properties
SG	C2/c, No. 15


4.
Compound: Pr6Sm3Dy
Source: Alexandria via LeMat-Bulk
Functional: PBE
Structure: relaxed

Unit cell a=11.200 b=11.200 c=6.534 alpha=90.00 beta=90.00 gamma=120.83
Fractional coordinates of all 20 atoms:
Pr (0.034, 0.966, 0.500)
Pr (0.059, 0.476, 0.996)
Pr (0.279, 0.721, 0.711)
Pr (0.289, 0.371, 0.807)
Pr (0.371, 0.289, 0.307)
Pr (0.476, 0.059, 0.496)
Pr (0.524, 0.941, 0.996)
Pr (0.629, 0.711, 0.807)
Pr (0.711, 0.629, 0.307)
Pr (0.721, 0.279, 0.211)
Pr (0.941, 0.524, 0.496)
Pr (0.966, 0.034, 0.000)
Sm (0.056, 0.291, 0.401)
Sm (0.291, 0.056, 0.901)
Sm (0.384, 0.616, 0.279)
Sm (0.616, 0.384, 0.779)
Sm (0.709, 0.944, 0.401)
Sm (0.944, 0.709, 0.901)
Dy (0.192, 0.808, 0.252)
Dy (0.808, 0.192, 0.752)

## Properties
SG	Cmc2_1, No. 36


5.
Compound: Pr2SmDy5
Source: Alexandria via LeMat-Bulk
Functional: PBE
Structure: relaxed

Unit cell a=9.581 b=9.581 c=6.562 alpha=97.20 beta=97.20 gamma=62.66
Fractional coordinates of all 16 atoms:
Pr (0.168, 0.675, 0.884)
Pr (0.325, 0.832, 0.616)
Pr (0.675, 0.168, 0.384)
Pr (0.832, 0.325, 0.116)
Sm (0.000, 0.500, 0.000)
Sm (0.500, 0.000, 0.500)
Dy (0.012, 0.187, 0.646)
Dy (0.187, 0.012, 0.146)
Dy (0.213, 0.391, 0.475)
Dy (0.391, 0.213, 0.975)
Dy (0.441, 0.559, 0.250)
Dy (0.559, 0.441, 0.750)
Dy (0.609, 0.787, 0.025)
Dy (0.787, 0.609, 0.525)
Dy (0.813, 0.988, 0.854)
Dy (0.988, 0.813, 0.354)

## Properties
SG	C2/c, No. 15


6.
Compound: Pr3SmDy2
Source: Alexandria via LeMat-Bulk
Functional: PBE
Structure: relaxed

Unit cell a=6.308 b=6.308 c=12.088 alpha=110.32 beta=110.32 gamma=70.59
Fractional coordinates of all 12 atoms:
Pr (0.125, 0.875, 0.750)
Pr (0.208, 0.458, 0.916)
Pr (0.458, 0.208, 0.416)
Pr (0.542, 0.792, 0.584)
Pr (0.792, 0.542, 0.084)
Pr (0.875, 0.125, 0.250)
Sm (0.375, 0.625, 0.250)
Sm (0.625, 0.375, 0.750)
Dy (0.042, 0.291, 0.583)
Dy (0.291, 0.042, 0.083)
Dy (0.709, 0.958, 0.917)
Dy (0.958, 0.709, 0.417)

## Properties
SG	C2/c, No. 15


7.
Compound: Pr12Sm5Dy2
Source: Alexandria via LeMat-Bulk
Functional: PBE
Structure: relaxed

Unit cell a=9.442 b=9.442 c=8.141 alpha=92.78 beta=92.78 gamma=69.39
Fractional coordinates of all 19 atoms:
Pr (0.053, 0.053, 0.212)
Pr (0.089, 0.540, 0.707)
Pr (0.119, 0.668, 0.113)
Pr (0.332, 0.881, 0.887)
Pr (0.369, 0.369, 0.396)
Pr (0.460, 0.911, 0.293)
Pr (0.540, 0.089, 0.707)
Pr (0.631, 0.631, 0.604)
Pr (0.668, 0.119, 0.113)
Pr (0.881, 0.332, 0.887)
Pr (0.911, 0.460, 0.293)
Pr (0.947, 0.947, 0.788)
Sm (0.156, 0.156, 0.590)
Sm (0.258, 0.258, 0.018)
Sm (0.500, 0.500, 0.000)
Sm (0.742, 0.742, 0.982)
Sm (0.844, 0.844, 0.410)
Dy (0.233, 0.767, 0.500)
Dy (0.767, 0.233, 0.500)

## Properties
SG	C2/m, No. 12


8.
Compound: PrSm3Dy3
Source: Alexandria via LeMat-Bulk
Functional: PBE
Structure: relaxed

Unit cell a=8.912 b=8.912 c=8.912 alpha=58.61 beta=58.61 gamma=58.61
Fractional coordinates of all 14 atoms:
Pr (0.153, 0.153, 0.153)
Pr (0.847, 0.847, 0.847)
Sm (0.068, 0.223, 0.568)
Sm (0.223, 0.568, 0.068)
Sm (0.432, 0.932, 0.777)
Sm (0.568, 0.068, 0.223)
Sm (0.777, 0.432, 0.932)
Sm (0.932, 0.777, 0.432)
Dy (0.214, 0.437, 0.673)
Dy (0.327, 0.786, 0.563)
Dy (0.437, 0.673, 0.214)
Dy (0.563, 0.327, 0.786)
Dy (0.673, 0.214, 0.437)
Dy (0.786, 0.563, 0.327)

## Properties
SG	R-3, No. 148


Number 1: formation energy 0.2109 eV per atom. Number 2: formation energy 0.0660 eV per atom. Number 3: formation energy 0.1904 eV per atom. Number 4: formation energy 0.1332 eV per atom. Number 5: formation energy 0.1685 eV per atom. Number 6: formation energy 0.0178 eV per atom. Number 7: formation energy 0.1208 eV per atom. Number 8: formation energy 0.2050 eV per atom.